VASP calculation (PBE) on an optimized crystal structure of Ba2SrRh2.

Cell: 9.1399 9.1399 3.5697 Å, 90.00 90.00 90.00°
With the nearest neighbours (Å) after each atom.
Atoms (fractional coordinates):
Ba  0.6307  0.1307  0.0000  6 Rh 3.07-3.35, 1 Ba 3.38
Rh  0.3244  0.1756  0.5000  6 Ba 3.07-3.35
Rh  0.6756  0.8244  0.5000  6 Ba 3.07-3.35
Sr  0.5000  0.5000  0.0000  2 Sr 3.57, 4 Ba 3.58, 8 Rh 3.81
Sr  0.0000  0.0000  0.0000  2 Sr 3.57, 4 Ba 3.58, 8 Rh 3.81
Ba  0.1307  0.3693  0.0000  6 Rh 3.07-3.35, 1 Ba 3.38
Rh  0.1756  0.6756  0.5000  6 Ba 3.07-3.35
Ba  0.8693  0.6307  0.0000  6 Rh 3.07-3.35, 1 Ba 3.38
Rh  0.8244  0.3244  0.5000  6 Ba 3.07-3.35
Ba  0.3693  0.8693  0.0000  6 Rh 3.07-3.35, 1 Ba 3.38

DOS at the Fermi energy ... 6.35 states/eV/cell
Calculated volume ... 29.82 Å³ per atom
E ... -3.95 eV per atom